# YTcRh2 (PBE-GGA, relaxed)
data_YTcRh2
_cell_length_a 4.251
_cell_length_b 4.251
_cell_length_c 17.275
_cell_angle_alpha 90.00
_cell_angle_beta 90.00
_cell_angle_gamma 90.00
_symmetry_space_group_name_H-M 'I -4 2 d'
_symmetry_Int_Tables_number 122
_symmetry_space_group_name_Hall 'I -4 2bw'
loop_
_atom_site_label
_atom_site_fract_x
_atom_site_fract_y
_atom_site_fract_z
Y1 0.000 0.000 0.000
Tc1 0.000 0.000 0.500
Rh1 0.198 0.250 0.625
# * energy relative to the lowest polymorph listed for this composition: 476 meV/atom
# * calculated volume: 312 Å³/cell
# * uncorrected energy: -7.580 eV per atom

***

# YTcRh2 (PBE-GGA, relaxed)
data_YTcRh2
_cell_length_a 9.213
_cell_length_b 2.934
_cell_length_c 5.172
_cell_angle_alpha 90.00
_cell_angle_beta 100.34
_cell_angle_gamma 90.00
_symmetry_space_group_name_H-M 'C 1 2/m 1'
_symmetry_Int_Tables_number 12
loop_
_symmetry_equiv_pos_as_xyz
'x,y,z'
'-x,-y,-z'
'-x,y,-z'
'x,-y,z'
'x+1/2,y+1/2,z'
'-x+1/2,-y+1/2,-z'
'-x+1/2,y+1/2,-z'
'x+1/2,-y+1/2,z'
loop_
_atom_site_label
_atom_site_fract_x
_atom_site_fract_y
_atom_site_fract_z
Y1 0.000 0.000 0.000
Tc1 0.000 0.500 0.500
Rh1 0.244 0.000 0.711
# * energy relative to the lowest polymorph listed for this composition: 149 meV/atom
# * calculated volume: 138 Å³/cell
# * uncorrected energy: -7.907 eV per atom

***

# Y2Tc2Rh (PBE-GGA, relaxed)
data_Y2Tc2Rh
_cell_length_a 6.733
_cell_length_b 6.733
_cell_length_c 4.550
_cell_angle_alpha 90.00
_cell_angle_beta 90.00
_cell_angle_gamma 90.00
_symmetry_space_group_name_H-M 'P 4/m b m'
_symmetry_Int_Tables_number 127
_symmetry_space_group_name_Hall '-P 4 2ab'
loop_
_atom_site_label
_atom_site_fract_x
_atom_site_fract_y
_atom_site_fract_z
Y1 0.181 0.319 0.000
Tc1 0.120 0.620 0.500
Rh1 0.000 0.000 0.500
# * calculated volume: 206 Å³/cell
# * uncorrected energy: -8.279 eV per atom

***

# YTcRh2 (PBE-GGA, relaxed)
data_YTcRh2
_cell_length_a 2.9348
_cell_length_b 2.9348
_cell_length_c 27.5093
_cell_angle_alpha 90.00
_cell_angle_beta 90.00
_cell_angle_gamma 120.00
_symmetry_space_group_name_H-M 'R 3 m'
_symmetry_Int_Tables_number 160
_symmetry_space_group_name_Hall 'R 3 -2"'
loop_
_atom_site_label
_atom_site_fract_x
_atom_site_fract_y
_atom_site_fract_z
Y1 0.0000 0.0000 0.0000
Tc1 0.0000 0.0000 0.2393
Rh1 0.0000 0.0000 0.5006
Rh2 0.0000 0.0000 0.7517
# * energy relative to the lowest polymorph listed for this composition: 463 meV/atom
# * calculated volume: 205 Å³/cell
# * uncorrected energy: -7.593 eV per atom

***

# YTc2Rh2 (PBE-GGA, relaxed)
data_YTc2Rh2
_cell_length_a 4.166
_cell_length_b 4.166
_cell_length_c 10.570
_cell_angle_alpha 90.00
_cell_angle_beta 90.00
_cell_angle_gamma 90.00
_symmetry_space_group_name_H-M 'I 4/m m m'
_symmetry_Int_Tables_number 139
_symmetry_space_group_name_Hall '-I 4 2'
loop_
_atom_site_label
_atom_site_fract_x
_atom_site_fract_y
_atom_site_fract_z
Y1 0.000 0.000 0.000
Tc1 0.000 0.000 0.394
Rh1 0.000 0.500 0.250
# * energy relative to the lowest polymorph listed for this composition: 0 meV/atom
# * calculated volume: 183 Å³/cell
# * uncorrected energy: -8.481 eV per atom

***

# YTcRh2 (PBE-GGA, relaxed)
data_YTcRh2
_cell_length_a 2.952
_cell_length_b 4.583
_cell_length_c 5.064
_cell_angle_alpha 90.00
_cell_angle_beta 97.28
_cell_angle_gamma 90.00
_symmetry_space_group_name_H-M 'P 1 m 1'
_symmetry_Int_Tables_number 6
loop_
_symmetry_equiv_pos_as_xyz
'x,y,z'
'x,-y,z'
loop_
_atom_site_label
_atom_site_fract_x
_atom_site_fract_y
_atom_site_fract_z
Y1 0.000 0.000 0.000
Tc1 0.188 0.500 0.613
Rh1 0.548 0.500 0.150
Rh2 0.571 0.000 0.495
# * energy relative to the lowest polymorph listed for this composition: 9 meV/atom
# * calculated volume: 68 Å³/cell
# * uncorrected energy: -8.047 eV per atom

***

# YTcRh2 (PBE-GGA, relaxed)
data_YTcRh2
_cell_length_a 4.179
_cell_length_b 4.197
_cell_length_c 7.755
_cell_angle_alpha 90.00
_cell_angle_beta 90.00
_cell_angle_gamma 90.00
_symmetry_space_group_name_H-M 'I m m m'
_symmetry_Int_Tables_number 71
_symmetry_space_group_name_Hall '-I 2 2'
loop_
_atom_site_label
_atom_site_fract_x
_atom_site_fract_y
_atom_site_fract_z
Y1 0.000 0.000 0.000
Tc1 0.000 0.000 0.500
Rh1 0.000 0.500 0.250
# * energy relative to the lowest polymorph listed for this composition: 55 meV/atom
# * calculated volume: 136 Å³/cell
# * uncorrected energy: -8.001 eV per atom

***

# YTcRh (PBE-GGA, relaxed)
data_YTcRh
_cell_length_a 3.1288
_cell_length_b 3.1288
_cell_length_c 6.6317
_cell_angle_alpha 90.00
_cell_angle_beta 90.00
_cell_angle_gamma 120.00
_symmetry_space_group_name_H-M 'P 3 m 1'
_symmetry_Int_Tables_number 156
loop_
_symmetry_equiv_pos_as_xyz
'x,y,z'
'-y,x-y,z'
'-x+y,-x,z'
'-y,-x,z'
'-x+y,y,z'
'x,x-y,z'
loop_
_atom_site_label
_atom_site_fract_x
_atom_site_fract_y
_atom_site_fract_z
Y1 0.0000 0.0000 0.0000
Tc1 0.6667 0.3333 0.6431
Rh1 0.3333 0.6667 0.3540
# * energy relative to the lowest polymorph listed for this composition: 385 meV/atom
# * calculated volume: 56 Å³/cell
# * uncorrected energy: -7.712 eV per atom

***

# YTcRh2 (PBE-GGA, relaxed)
data_YTcRh2
_cell_length_a 2.946
_cell_length_b 4.640
_cell_length_c 10.074
_cell_angle_alpha 90.00
_cell_angle_beta 90.00
_cell_angle_gamma 90.00
_symmetry_space_group_name_H-M 'I m m 2'
_symmetry_Int_Tables_number 44
loop_
_symmetry_equiv_pos_as_xyz
'x,y,z'
'-x,-y,z'
'-x,y,z'
'x,-y,z'
'x+1/2,y+1/2,z+1/2'
'-x+1/2,-y+1/2,z+1/2'
'-x+1/2,y+1/2,z+1/2'
'x+1/2,-y+1/2,z+1/2'
loop_
_atom_site_label
_atom_site_fract_x
_atom_site_fract_y
_atom_site_fract_z
Y1 0.000 0.000 0.000
Tc1 0.000 0.500 0.222
Rh1 0.000 0.000 0.507
Rh2 0.000 0.500 0.772
# * energy relative to the lowest polymorph listed for this composition: 113 meV/atom
# * calculated volume: 138 Å³/cell
# * uncorrected energy: -7.943 eV per atom

***

# YTcRh2 (PBE-GGA, relaxed)
data_YTcRh2
_cell_length_a 2.9065
_cell_length_b 2.9065
_cell_length_c 27.5955
_cell_angle_alpha 90.00
_cell_angle_beta 90.00
_cell_angle_gamma 120.00
_symmetry_space_group_name_H-M 'R -3 m'
_symmetry_Int_Tables_number 166
_symmetry_space_group_name_Hall '-R 3 2"'
loop_
_atom_site_label
_atom_site_fract_x
_atom_site_fract_y
_atom_site_fract_z
Y1 0.0000 0.0000 0.0000
Tc1 0.0000 0.0000 0.5000
Rh1 0.0000 0.0000 0.2430
# * energy relative to the lowest polymorph listed for this composition: 362 meV/atom
# * calculated volume: 202 Å³/cell
# * uncorrected energy: -7.693 eV per atom

***

# YTcRh (PBE-GGA, relaxed)
data_YTcRh
_cell_length_a 4.5788
_cell_length_b 4.5788
_cell_length_c 3.0756
_cell_angle_alpha 90.00
_cell_angle_beta 90.00
_cell_angle_gamma 120.00
_symmetry_space_group_name_H-M 'P -6 m 2'
_symmetry_Int_Tables_number 187
_symmetry_space_group_name_Hall 'P -6 2'
loop_
_atom_site_label
_atom_site_fract_x
_atom_site_fract_y
_atom_site_fract_z
Y1 0.0000 0.0000 0.0000
Tc1 0.3333 0.6667 0.5000
Rh1 0.6667 0.3333 0.5000
# * energy relative to the lowest polymorph listed for this composition: 57 meV/atom
# * calculated volume: 56 Å³/cell
# * uncorrected energy: -8.040 eV per atom

***

# YTcRh2 (PBE-GGA, relaxed)
data_YTcRh2
_cell_length_a 4.191
_cell_length_b 4.191
_cell_length_c 3.863
_cell_angle_alpha 90.00
_cell_angle_beta 90.00
_cell_angle_gamma 90.00
_symmetry_space_group_name_H-M 'P 4/m m m'
_symmetry_Int_Tables_number 123
_symmetry_space_group_name_Hall '-P 4 2'
loop_
_atom_site_label
_atom_site_fract_x
_atom_site_fract_y
_atom_site_fract_z
Y1 0.000 0.000 0.000
Tc1 0.500 0.500 0.000
Rh1 0.000 0.500 0.500
# * energy relative to the lowest polymorph listed for this composition: 44 meV/atom
# * calculated volume: 68 Å³/cell
# * uncorrected energy: -8.012 eV per atom

***

| no. | E_form (eV per atom) |
| --- | --- |
| 1 | 0.303 |
| 2 | -0.024 |
| 3 | -0.076 |
| 4 | 0.291 |
| 5 | -0.101 |
| 6 | -0.164 |
| 7 | -0.117 |
| 8 | 0.348 |
| 9 | -0.059 |
| 10 | 0.190 |
| 11 | 0.020 |
| 12 | -0.129 |